# LiIn5Hg2 (PBE, relaxed)
# * theoretical density: 8.25 g cm⁻³
# * total magnetization: 0.00 μB per formula unit
# * energy of formation: -0.545 eV/f.u.
data_LiIn5Hg2
_chemical_formula_sum 'Li2 In10 Hg4'
_symmetry_space_group_name_H-M 'P b a m'
_symmetry_Int_Tables_number 55
_symmetry_space_group_name_Hall '-P 2 2ab'
_cell_length_a 6.529
_cell_length_b 12.872
_cell_length_c 4.707
_cell_angle_alpha 90.00
_cell_angle_beta 90.00
_cell_angle_gamma 90.00
loop_
_atom_site_label
_atom_site_type_symbol
_atom_site_fract_x
_atom_site_fract_y
_atom_site_fract_z
Li1 Li 0.000 0.000 0.000
In1 In 0.000 0.500 0.000
In2 In 0.007 0.244 0.000
In3 In 0.240 0.626 0.500
Hg1 Hg 0.226 0.886 0.500